First-principles (GGA-PBE) data for a relaxed structure of RbVTe3, as listed in Alexandria.

```
RbVTe3
1.0
3.746 -7.169 0.000
3.746 7.169 0.000
0.000 0.000 6.226
Rb V Te
2 2 6
Direct
0.173 0.827 0.750
0.827 0.173 0.250
0.500 0.500 0.000
0.500 0.500 0.500
0.168 0.330 0.750
0.330 0.168 0.250
0.346 0.654 0.250
0.654 0.346 0.750
0.670 0.832 0.750
0.832 0.670 0.250
```

Values from the calculation:
* ρ: 5.2 g/cm³
* ΔE_f (raw): -0.491 eV/atom
* E above lowest polymorph: 0.000 eV per atom

First-principles (GGA-PBE) data for a relaxed structure of Rb4VTe4, as listed in Alexandria.

```
Rb4VTe4
1.0
-4.275 4.275 7.165
4.275 -4.275 7.165
4.275 4.275 -7.165
Rb V Te
4 1 4
Direct
0.000 0.500 0.500
0.195 0.195 0.000
0.500 0.000 0.500
0.805 0.805 0.000
0.500 0.500 0.000
0.219 0.569 0.000
0.431 0.431 0.651
0.569 0.219 0.000
0.781 0.781 0.349
```

Values from the calculation:
* ρ: 2.9 g/cm³
* ΔE_f (raw): -0.719 eV/atom

First-principles (GGA-PBE) data for a relaxed structure of Rb3VTe, as listed in Alexandria.

```
Rb3VTe
1.0
6.343 0.000 0.000
0.000 6.343 0.000
0.000 0.000 6.343
Rb V Te
3 1 1
Direct
0.000 0.000 0.500
0.000 0.500 0.000
0.500 0.000 0.000
0.000 0.000 0.000
0.500 0.500 0.500
```

Values from the calculation:
* ρ: 2.8 g/cm³
* ΔE_f (raw): 0.565 eV/atom

First-principles (GGA-PBE) data for a relaxed structure of RbVTe3, as listed in Alexandria.

```
RbVTe3
1.0
5.437 0.000 0.000
0.000 5.437 0.000
0.000 0.000 5.437
Rb V Te
1 1 3
Direct
0.000 0.000 0.000
0.500 0.500 0.500
0.000 0.500 0.500
0.500 0.000 0.500
0.500 0.500 0.000
```

Values from the calculation:
* ρ: 5.4 g/cm³
* ΔE_f (raw): -0.289 eV/atom
* E above lowest polymorph: 0.202 eV per atom

First-principles (GGA-PBE) data for a relaxed structure of RbV2Te7, as listed in Alexandria.

```
RbV2Te7
1.0
4.398 -7.200 0.000
4.398 7.200 0.000
0.000 0.000 5.103
Rb V Te
1 2 7
Direct
0.000 0.000 0.000
0.314 0.686 0.500
0.686 0.314 0.500
0.065 0.348 0.500
0.253 0.747 0.000
0.348 0.065 0.500
0.500 0.500 0.500
0.652 0.935 0.500
0.747 0.253 0.000
0.935 0.652 0.500
```

Values from the calculation:
* ρ: 5.6 g/cm³
* ΔE_f (raw): -0.125 eV/atom

First-principles (GGA-PBE) data for a relaxed structure of Rb2VTe, as listed in Alexandria.

```
Rb2VTe
1.0
-6.786 6.786 2.602
6.786 -6.786 2.602
6.786 6.786 -2.602
Rb V Te
4 2 2
Direct
0.375 0.187 0.312
0.813 0.125 0.188
0.875 0.063 0.688
0.937 0.625 0.812
0.000 0.000 0.000
0.750 0.250 0.500
0.250 0.750 0.500
0.500 0.500 0.000
```

Values from the calculation:
* ρ: 2.4 g/cm³
* ΔE_f (raw): 0.124 eV/atom